Entry 1:
The following is a PBE calculation of a geometry-optimized Np2Sn8Ir structure, from Alexandria via LeMat-Bulk.

abc: 4.670 4.670 12.298
angles: 90.00 90.00 90.00
Fractional positions:
Np 0.000 0.000 0.188
Np 0.000 0.000 0.812
Sn 0.000 0.500 0.000
Sn 0.000 0.500 0.374
Sn 0.000 0.500 0.626
Sn 0.500 0.000 0.000
Sn 0.500 0.000 0.374
Sn 0.500 0.000 0.626
Sn 0.500 0.500 0.189
Sn 0.500 0.500 0.811
Ir 0.000 0.000 0.500

Results
ΔE_f ... -127 meV/atom
Density ... 10.01 g/cm³
Space group ... P4/mmm
VASP energy ... -68.2 eV per cell
V ... 268.2 Å³/cell
DOS(E_F) ... 24.29 states/eV/cell

Entry 2:
The following is a PBE calculation of a geometry-optimized Np4Sn8Ir structure, from Alexandria via LeMat-Bulk.

abc: 4.412 4.553 16.397
angles: 90.00 90.00 90.00
Fractional positions:
Np 0.000 0.000 0.000
Np 0.000 0.500 0.477
Np 0.500 0.000 0.788
Np 0.500 0.500 0.302
Sn 0.000 0.000 0.322
Sn 0.000 0.000 0.618
Sn 0.000 0.500 0.150
Sn 0.000 0.500 0.859
Sn 0.500 0.000 0.153
Sn 0.500 0.000 0.452
Sn 0.500 0.500 0.615
Sn 0.500 0.500 0.978
Ir 0.000 0.500 0.702

Results
ΔE_f ... -50 meV/atom
Density ... 10.54 g/cm³
Space group ... Pmm2
VASP energy ... -93.3 eV per cell
V ... 329.4 Å³/cell
DOS(E_F) ... 38.75 states/eV/cell

> What is the ΔE_f in the first record?

-127 meV/atom